No. 1
GGA-PBE TcNiBi2, relaxed; total magnetization = 1.8 μB/cell; final energy = -5.42 eV/atom; SG = Fm-3m, No. 225; energy relative to the lowest polymorph listed for this composition = 0 meV per atom; crystal system = cubic
1.0
0.0000 3.4197 3.4197
3.4197 0.0000 3.4197
3.4197 3.4197 0.0000
Tc Ni Bi
1 1 2
direct
0.0000 0.0000 0.0000
0.5000 0.5000 0.5000
0.2500 0.2500 0.2500
0.7500 0.7500 0.7500

***

No. 2
GGA-PBE ReHg3As, relaxed; total magnetization = 4.6 μB/cell; final energy = -2.16 eV/atom; SG = Pm-3m, No. 221; energy relative to the lowest polymorph listed for this composition = 162 meV per atom; crystal system = cubic
1.0
5.3159 0.0000 0.0000
0.0000 5.3159 0.0000
0.0000 0.0000 5.3159
Re Hg As
1 3 1
direct
0.0000 0.0000 0.0000
0.0000 0.5000 0.5000
0.5000 0.0000 0.5000
0.5000 0.5000 0.0000
0.5000 0.5000 0.5000

***

No. 3
GGA-PBE Cs2NaTlBi2, relaxed; total magnetization = 0.0 μB/cell; final energy = -2.53 eV/atom; SG = Ibam, No. 72; crystal system = orthorhombic
1.0
-3.8288 8.9536 3.8463
3.8288 -8.9536 3.8463
3.8288 8.9536 -3.8463
Cs Na Tl Bi
4 2 2 4
direct
0.1677 0.2442 0.4119
0.3323 0.7442 0.0765
0.6677 0.2558 0.9235
0.8323 0.7558 0.5881
0.2500 0.2500 0.0000
0.7500 0.7500 0.0000
0.2500 0.7500 0.5000
0.7500 0.2500 0.5000
0.0979 0.7271 0.8250
0.4021 0.2271 0.6292
0.5979 0.7729 0.3708
0.9021 0.2729 0.1750

***

No. 4
GGA-PBE CsNdBi, relaxed; total magnetization = 0.6 μB/cell; final energy = -3.61 eV/atom; SG = R-3m, No. 166; crystal system = trigonal
1.0
2.6483 1.5290 14.5352
-2.6483 1.5290 14.5352
0.0000 -3.0580 14.5352
Cs Nd Bi
2 2 2
direct
0.1096 0.1096 0.1096
0.8904 0.8904 0.8904
0.3060 0.3060 0.3060
0.6940 0.6940 0.6940
0.3833 0.3833 0.3833
0.6167 0.6167 0.6167

***

no.,formation energy (kJ/mol of formula units)
1,217
2,695
3,-197
4,-128